Entry 1:
Density functional theory data (PBE) for a relaxed structure of LaTbYLu.

Output
- Fermi-level density of states: 6.2 states/eV/cell
- ΔH_f (0 K): 0.38 eV per formula unit
- SG: F-43m

Cell lengths 5.721, 5.721, 5.721 Å; angles 60.00, 60.00, 60.00 degrees
Atoms (fractional coordinates):
1 Lu 0.750 0.750 0.750
2 La 0.000 0.000 0.000
3 Tb 0.500 0.500 0.500
4 Y 0.250 0.250 0.250

=====

Entry 2:
Density functional theory data (PBE) for a relaxed structure of P2WS8.

Output
- ΔE_f (raw): -0.164 eV/atom
- SG: C2/m

Cell lengths 5.771, 7.187, 7.187 Å; angles 100.42, 92.04, 92.04 degrees
Atoms (fractional coordinates):
1 S 0.735 0.751 0.034
2 S 0.265 0.249 0.966
3 S 0.195 0.762 0.762
4 S 0.657 0.564 0.564
5 S 0.343 0.436 0.436
6 S 0.735 0.034 0.751
7 S 0.265 0.966 0.249
8 S 0.805 0.238 0.238
9 W 0.000 0.000 0.000
10 P 0.452 0.217 0.217
11 P 0.548 0.783 0.783

=====

Entry 3:
Density functional theory data (PBE) for a relaxed structure of ZnSi2Ni.

Output
- Fermi-level density of states: 1.7 states/eV/cell
- ΔE_f (raw): 0.136 eV/atom
- SG: P4/mmm

Cell lengths 3.743, 3.743, 3.766 Å; angles 90.00, 90.00, 90.00 degrees
Atoms (fractional coordinates):
1 Ni 0.000 0.500 0.500
2 Zn 0.500 0.000 0.500
3 Si 0.000 0.000 0.000
4 Si 0.500 0.500 0.000

=====

Entry 4:
Density functional theory data (PBE) for a relaxed structure of K2TaP.

Output
- Fermi-level density of states: 2.6 states/eV/cell
- ΔH_f (0 K): 2.08 eV per formula unit
- SG: P2/m

Cell lengths 3.541, 8.663, 8.785 Å; angles 31.92, 90.00, 90.00 degrees
Each line ends with the local moment (μB).
Atoms (fractional coordinates):
1 Ta 0.500 0.750 0.750  1.01
2 P 0.500 0.250 0.250  -0.07
3 K 0.000 0.094 0.102  0.01
4 K 0.000 0.406 0.398  0.01

=====

Number 1: V 132.38 Å³/f.u., spin magnetization 0.00 μB per cell. Number 2: V 292.68 Å³/f.u., spin magnetization 0.00 μB per cell. Number 3: V 52.76 Å³/f.u., spin magnetization 0.00 μB per cell. Number 4: V 142.48 Å³/f.u., spin magnetization 1.69 μB per cell.